(a)
A relaxed structure of Nd8Y2Ho, computed with PBE-GGA.

```
Nd8Y2Ho
1.0
4.600 -8.344 0.000
4.600 8.344 0.000
-3.355 0.000 4.989
Nd Y Ho
8 2 1
Cartesian
-0.296 1.973 3.404
4.600 4.927 0.000
-0.296 -1.973 3.404
3.208 0.000 1.017
2.636 0.000 3.972
6.140 1.973 1.585
4.600 -4.927 0.000
6.140 -1.973 1.585
2.922 3.169 2.495
2.922 -3.169 2.495
0.000 0.000 0.000
```

Results
Density: 6.49 g/cm3
Size of the total moment: 0.00 Bohr magnetons per cell
DOS at the Fermi energy: 14.8 states/eV/cell
Space-group type: No. 12


(b)
A relaxed structure of Nd8Y2Ho, computed with PBE-GGA.

```
Nd8Y2Ho
1.0
9.295 -2.581 0.000
9.295 2.581 0.000
-2.140 0.000 7.870
Nd Y Ho
8 2 1
Cartesian
0.365 0.000 1.801
1.076 0.000 5.375
4.657 0.000 4.641
7.503 0.000 0.374
8.948 0.000 7.496
11.793 0.000 3.229
15.375 0.000 2.495
16.086 0.000 6.069
3.926 0.000 1.062
12.524 0.000 6.808
8.225 0.000 3.935
```

Results
Density: 6.58 g/cm3
Size of the total moment: 0.00 Bohr magnetons per cell
DOS at the Fermi energy: 16.8 states/eV/cell
Space-group type: No. 12


Stability order, top to bottom: (b), (a)


(a)
A relaxed structure of Nd5Y3Ho, computed with PBE-GGA.

```
Nd5Y3Ho
1.0
8.495 -4.140 0.000
8.495 4.140 0.000
-8.360 0.000 9.346
Nd Y Ho
10 6 2
Cartesian
8.495 2.619 0.000
2.783 0.000 0.547
5.535 1.649 2.101
2.623 0.000 3.970
3.095 1.649 7.245
5.535 -1.649 2.101
6.008 0.000 5.376
3.095 -1.649 7.245
5.848 0.000 8.799
8.495 -2.619 0.000
-4.180 0.000 4.673
-0.794 0.000 2.905
-0.137 0.000 6.140
8.495 0.000 0.000
8.768 0.000 3.206
9.425 0.000 6.441
-2.832 0.000 8.157
11.463 0.000 1.189
```

Results
Density: 5.82 g/cm3
Size of the total moment: 0.00 Bohr magnetons per cell
DOS at the Fermi energy: 25.7 states/eV/cell
Space-group type: No. 12


(b)
A relaxed structure of Nd5Y3Ho, computed with PBE-GGA.

```
Nd5Y3Ho
1.0
10.091 -3.152 0.000
10.091 3.152 0.000
-6.300 0.000 9.940
Nd Y Ho
10 6 2
Cartesian
5.142 2.047 3.381
5.365 2.585 7.455
2.272 1.157 6.626
11.889 2.047 1.589
8.459 1.157 8.284
5.422 -1.157 1.656
1.992 -2.047 8.351
11.609 -1.157 3.314
8.515 -2.585 2.485
8.739 -2.047 6.559
0.418 1.413 9.670
10.313 1.413 5.240
10.091 0.000 0.000
6.940 0.000 4.970
3.568 -1.413 4.700
13.463 -1.413 0.270
8.515 0.638 2.485
5.365 -0.638 7.455
```

Results
Density: 6.06 g/cm3
Size of the total moment: 0.00 Bohr magnetons per cell
DOS at the Fermi energy: 25.6 states/eV/cell
Space-group type: No. 15


Stability order, top to bottom: (b), (a)


(a)
A relaxed structure of NdY3Ho7, computed with PBE-GGA.

```
NdY3Ho7
1.0
6.975 0.000 0.000
0.000 5.541 0.000
-3.422 0.000 9.287
Nd Y Ho
1 3 7
Cartesian
0.000 0.000 0.000
0.232 2.770 4.627
3.488 0.000 0.000
3.321 2.770 4.659
-1.711 0.000 4.643
-1.684 2.770 7.349
1.772 2.770 1.329
1.796 0.000 3.078
1.757 0.000 6.208
1.781 2.770 7.958
5.237 2.770 1.938
```

Results
Density: 7.24 g/cm3
Size of the total moment: 0.00 Bohr magnetons per cell
DOS at the Fermi energy: 18.2 states/eV/cell
Space-group type: No. 10


(b)
A relaxed structure of NdY3Ho7, computed with PBE-GGA.

```
NdY3Ho7
1.0
7.044 0.000 0.000
-3.522 6.100 0.000
0.000 0.000 8.625
Nd Y Ho
1 3 7
Cartesian
0.000 0.000 0.000
0.000 2.040 5.689
-1.755 5.080 5.689
1.755 5.080 5.689
-1.747 3.058 8.597
1.749 1.010 2.816
0.000 4.067 2.790
1.747 3.058 8.597
0.000 6.084 8.597
5.295 1.010 2.816
3.522 4.081 2.816
```

Results
Density: 7.01 g/cm3
Size of the total moment: 0.01 Bohr magnetons per cell
DOS at the Fermi energy: 18.1 states/eV/cell
Space-group type: No. 156


Stability order, top to bottom: (a), (b)


(a)
A relaxed structure of Nd3Y2Ho3, computed with PBE-GGA.

```
Nd3Y2Ho3
1.0
5.967 0.000 0.000
0.000 5.968 0.000
0.000 0.000 14.852
Nd Y Ho
6 4 6
Cartesian
0.000 0.000 0.000
0.000 2.984 5.547
0.000 2.984 9.305
2.984 0.000 1.879
2.984 0.000 12.973
2.984 2.984 7.426
0.000 0.000 3.732
0.000 0.000 11.120
2.984 2.984 3.694
2.984 2.984 11.158
0.000 0.000 7.426
0.000 2.984 1.845
0.000 2.984 13.008
2.984 0.000 5.582
2.984 0.000 9.271
2.984 2.984 0.000
```

Results
Density: 6.94 g/cm3
Size of the total moment: 0.00 Bohr magnetons per cell
DOS at the Fermi energy: 36.0 states/eV/cell
Space-group type: No. 71


(b)
A relaxed structure of Nd3Y2Ho3, computed with PBE-GGA.

```
Nd3Y2Ho3
1.0
5.074 0.000 0.000
0.000 5.091 0.000
0.000 0.000 20.365
Nd Y Ho
6 4 6
Cartesian
0.000 0.000 0.000
0.000 2.545 2.530
0.000 2.545 17.835
2.537 0.000 7.652
2.537 0.000 12.712
2.537 2.545 10.182
0.000 0.000 5.078
0.000 0.000 15.287
2.537 2.545 5.104
2.537 2.545 15.261
0.000 0.000 10.182
0.000 2.545 7.624
0.000 2.545 12.741
2.537 0.000 2.559
2.537 0.000 17.806
2.537 2.545 0.000
```

Results
Density: 6.98 g/cm3
Size of the total moment: 0.00 Bohr magnetons per cell
DOS at the Fermi energy: 24.7 states/eV/cell
Space-group type: No. 71


Stability order, top to bottom: (b), (a)